1.
A geometry-optimized TlSbBr3 structure, computed with PBE-GGA.

Output
SG: Pm-3m (221)
formation energy (no corrections): -0.49 eV per atom
energy relative to the lowest polymorph listed for this composition: 39 meV/atom

a b c (Å): 5.774 5.774 5.774
angles (deg): 90.00 90.00 90.00
Element x y z (fractional)
Br1 0.000 0.000 0.500
Br2 0.000 0.500 0.000
Br3 0.500 0.000 0.000
Tl1 0.500 0.500 0.500
Sb1 0.000 0.000 0.000

---

2.
A geometry-optimized HoThSe structure, computed with PBE-GGA.

Output
SG: I4mm (107)
formation energy (no corrections): -0.82 eV per atom
energy relative to the lowest polymorph listed for this composition: 110 meV/atom

a b c (Å): 3.621 3.621 6.761
angles (deg): 105.53 105.53 90.00
Element x y z (fractional)
Ho1 0.693 0.693 0.385
Se1 0.328 0.328 0.657
Th1 0.979 0.979 0.958

---

3.
A geometry-optimized Cs2Cd2P structure, computed with PBE-GGA.

Output
SG: I4/mmm (139)
energy of formation: 12 meV per atom
energy relative to the lowest polymorph listed for this composition: 0 meV/atom

a b c (Å): 6.671 6.671 6.671
angles (deg): 112.38 112.38 103.79
Element x y z (fractional)
Cs1 0.250 0.750 0.500
Cs2 0.750 0.250 0.500
Cd1 0.686 0.686 0.000
Cd2 0.314 0.314 0.000
P1 0.000 0.000 0.000

---

4.
A geometry-optimized Dy3GeIr2 structure, computed with PBE-GGA.

Output
SG: Pnma (62)
energy of formation: -776 meV per atom

a b c (Å): 3.959 11.847 11.668
angles (deg): 90.00 90.00 90.00
Element x y z (fractional)
Dy1 0.750 0.935 0.128
Ir1 0.750 0.989 0.688
Dy2 0.250 0.682 0.199
Dy3 0.750 0.182 0.301
Ge1 0.750 0.634 0.377
Dy4 0.250 0.065 0.872
Ir2 0.750 0.191 0.009
Dy5 0.250 0.380 0.051
Ir3 0.750 0.511 0.188
Dy6 0.250 0.435 0.372
Ir4 0.750 0.309 0.509
Ir5 0.250 0.691 0.491
Dy7 0.250 0.120 0.551
Ge2 0.250 0.366 0.623
Ir6 0.250 0.809 0.991
Ge3 0.750 0.866 0.877
Ge4 0.250 0.134 0.123
Dy8 0.250 0.818 0.699
Dy9 0.750 0.318 0.801
Ir7 0.250 0.489 0.812
Dy10 0.750 0.565 0.628
Ir8 0.250 0.011 0.312
Dy11 0.750 0.880 0.449
Dy12 0.750 0.620 0.949

---

5.
A geometry-optimized PmScP structure, computed with PBE-GGA.

Output
SG: P3m1 (156)
energy of formation: -713 meV per atom
energy relative to the lowest polymorph listed for this composition: 196 meV/atom

a b c (Å): 4.182 4.413 4.413
angles (deg): 120.00 90.00 90.00
Element x y z (fractional)
Pm1 0.702 0.667 0.333
Sc1 0.199 0.333 0.667
P1 0.099 0.000 0.000

---

6.
A geometry-optimized HfNbN2 structure, computed with PBE-GGA.

Output
SG: Fm-3m (225)
formation energy (no corrections): -0.66 eV per atom

a b c (Å): 3.937 3.937 3.937
angles (deg): 60.00 60.00 60.00
Element x y z (fractional)
Hf1 0.500 0.500 0.500
Nb1 0.000 0.000 0.000
N1 0.250 0.250 0.250
N2 0.750 0.750 0.750

---

7.
A geometry-optimized LiZn2Ag structure, computed with PBE-GGA.

Output
SG: P2/m (10)
energy of formation: -132 meV per atom

a b c (Å): 4.455 2.757 5.058
angles (deg): 80.43 90.00 90.00
Element x y z (fractional)
Zn1 0.000 0.982 0.993
Zn2 0.000 0.518 0.507
Ag1 0.500 0.250 0.250
Li1 0.500 0.750 0.750

---

8.
A geometry-optimized Ca3Pr2Mg2 structure, computed with PBE-GGA.

Output
SG: Cmmm (65)
energy of formation: 31 meV per atom

a b c (Å): 3.825 3.820 16.815
angles (deg): 90.00 96.53 90.00
Element x y z (fractional)
Mg1 0.854 0.000 0.708
Ca1 0.000 0.000 0.000
Ca2 0.585 0.500 0.170
Ca3 0.415 0.500 0.830
Pr1 0.707 0.500 0.413
Mg2 0.146 0.000 0.292
Pr2 0.293 0.500 0.587

---

9.
A geometry-optimized Pm2InSn structure, computed with PBE-GGA.

Output
SG: Cmmm (65)
energy of formation: -589 meV per atom

a b c (Å): 3.520 5.726 5.726
angles (deg): 102.13 89.99 89.99
Element x y z (fractional)
In1 0.500 0.500 0.500
Sn1 0.500 0.000 0.000
Pm1 0.000 0.000 0.500
Pm2 0.000 0.500 0.000

---

10.
A geometry-optimized ScAl2Rh structure, computed with PBE-GGA.

Output
SG: Immm (71)
energy of formation: -578 meV per atom

a b c (Å): 5.470 5.470 5.470
angles (deg): 147.49 129.15 61.67
Element x y z (fractional)
Rh1 0.750 0.250 0.500
Al1 0.972 0.972 0.000
Al2 0.528 0.528 0.000
Sc1 0.250 0.750 0.500

---

11.
A geometry-optimized Nb5Ga2P2 structure, computed with PBE-GGA.

Output
SG: Cmce (64)
energy of formation: -532 meV per atom

a b c (Å): 6.814 6.667 7.448
angles (deg): 90.00 62.78 90.00
Element x y z (fractional)
Nb1 0.537 0.835 0.246
Nb2 0.463 0.165 0.754
Nb3 0.717 0.335 0.246
Ga1 0.788 0.000 0.424
Nb4 0.500 0.500 0.000
Ga2 0.712 0.500 0.576
Nb5 0.000 0.000 0.000
P1 0.366 0.868 0.000
Nb6 0.963 0.335 0.754
Ga3 0.288 0.500 0.424
P2 0.866 0.632 0.000
Nb7 0.217 0.165 0.246
Nb8 0.783 0.835 0.754
Nb9 0.283 0.665 0.754
P3 0.134 0.368 0.000
Ga4 0.212 0.000 0.576
P4 0.634 0.132 0.000
Nb10 0.037 0.665 0.246

---

12.
A geometry-optimized BaBeOs2 structure, computed with PBE-GGA.

Output
SG: P4/mmm (123)
energy of formation: 1531 meV per atom

a b c (Å): 4.759 3.965 3.965
angles (deg): 90.00 90.00 90.00
Element x y z (fractional)
Be1 0.500 0.000 0.500
Os1 0.000 0.000 0.000
Ba1 0.500 0.500 0.000
Os2 0.000 0.500 0.500